# PBE Tb2NpZn, relaxed
data_Tb2NpZn
_symmetry_space_group_name_H-M 'R -3 m'
_symmetry_Int_Tables_number 166
_symmetry_space_group_name_Hall '-R 3 2"'
_cell_length_a 3.3059
_cell_length_b 3.3059
_cell_length_c 34.2351
_cell_angle_alpha 90.00
_cell_angle_beta 90.00
_cell_angle_gamma 120.00
loop_
_atom_site_label
_atom_site_fract_x
_atom_site_fract_y
_atom_site_fract_z
Tb1 0.0000 0.0000 0.0977
Np1 0.0000 0.0000 0.0000
Zn1 0.0000 0.0000 0.5000
# Formation energy from the elements = 159 kJ/mol of formula units
# Calculated total energy = -5.457 eV per atom
# Density of states at the Fermi level = 8.644 states/eV/f.u.
# Crystal system = trigonal